! Ac2NdSmS4 | the Alexandria database | GGA-PBE | relaxed; values from VASP
&SYSTEM
  ibrav = 0, nat = 8, ntyp = 4
/
ATOMIC_SPECIES
Ac 227.00 Ac.upf
Nd 144.24 Nd.upf
Sm 150.36 Sm.upf
S 32.06 S.upf
CELL_PARAMETERS angstrom
7.205 0.000 0.000
0.000 4.129 0.000
-2.382 0.000 6.902
ATOMIC_POSITIONS crystal
Ac 0.000 0.000 0.000
Ac 0.500 0.500 0.000
Nd 0.000 0.500 0.500
Sm 0.500 0.000 0.500
S 0.247 0.000 0.733
S 0.259 0.500 0.269
S 0.741 0.500 0.731
S 0.753 0.000 0.267
! theoretical density = 7.09 g/cm³
! spin magnetization = 0.0 μB/f.u.
! calculated total energy = -6.283 eV/atom
! DOS(E_F) = 0.6103 states/eV/atom